Entry 1:
Below is NdAsF after structural relaxation, with properties calculated at the PBE level.

a = 4.4263 Å, b = 4.0711 Å, c = 4.0711 Å
α = 120.00°, β = 90.00°, γ = 90.00°
Closest atoms and distances in Å follow each position.
Element x y z (fractional)
F 0.1669 0.3333 0.6667  3 Nd 2.35
As 0.6666 0.6667 0.3333  6 F 3.23, 6 Nd 3.23
Nd 0.1665 0.0000 0.0000  3 F 2.35

Computed properties:
DFT total energy	-17.7	eV per cell
M_tot	0.000	μB per cell
N(E_F)	2.11	states/eV per cell

***

Entry 2:
Below is NdAsF after structural relaxation, with properties calculated at the PBE level.

a = 3.3706 Å, b = 3.3706 Å, c = 5.8395 Å
α = 106.77°, β = 106.77°, γ = 90.00°
Closest atoms and distances in Å follow each position.
Element x y z (fractional)
Nd 0.7088 0.7088 0.4175  4 F 2.52
F 0.2850 0.2850 0.5699  4 Nd 2.52
As 0.0063 0.0063 0.0126  1 F 2.97, 5 Nd 3.17-3.22

Computed properties:
DFT total energy	-16.9	eV per cell
M_tot	0.000	μB per cell
N(E_F)	1.56	states/eV per cell

***

Entry 3:
Below is NdAsF after structural relaxation, with properties calculated at the PBE level.

a = 4.0971 Å, b = 5.0785 Å, c = 7.9035 Å
α = 106.65°, β = 90.00°, γ = 113.79°
Closest atoms and distances in Å follow each position.
Element x y z (fractional)
Nd 0.3391 0.6782 0.2326  3 F 2.43-2.46
Nd 0.6609 0.3218 0.7674  3 F 2.43-2.46
F 0.8432 0.6864 0.0692  3 Nd 2.43-2.46, 2 F 2.68
F 0.1568 0.3136 0.9308  3 Nd 2.43-2.46, 2 F 2.68
As 0.3289 0.6578 0.6123  2 As 2.80, 4 Nd 2.94-3.06
As 0.6711 0.3422 0.3877  2 As 2.80, 4 Nd 2.94-3.06

Computed properties:
DFT total energy	-35.6	eV per cell
M_tot	0.000	μB per cell
N(E_F)	1.47	states/eV per cell

***

Entry 4:
Below is NdAsRhF after structural relaxation, with properties calculated at the PBE level.

a = 4.0267 Å, b = 4.0267 Å, c = 8.5879 Å
α = 90.00°, β = 90.00°, γ = 90.00°
Closest atoms and distances in Å follow each position.
Element x y z (fractional)
As 0.0000 0.5000 0.8269  4 Rh 2.50
As 0.5000 0.0000 0.1731  4 Rh 2.50
Rh 0.5000 0.5000 0.0000  4 As 2.50
Rh 0.0000 0.0000 0.0000  4 As 2.50
F 0.0000 0.0000 0.5000  4 Nd 2.57, 4 F 2.85
F 0.5000 0.5000 0.5000  4 Nd 2.57, 4 F 2.85
Nd 0.0000 0.5000 0.3133  4 F 2.57
Nd 0.5000 0.0000 0.6867  4 F 2.57

Computed properties:
DFT total energy	-53.1	eV per cell
M_tot	0.000	μB per cell
N(E_F)	3.43	states/eV per cell

***

Number 1: E_form (uncorrected) -48.9 kcal/mol of atoms, volume 21.18 Å³/atom. Number 2: E_form (uncorrected) -43.2 kcal/mol of atoms, volume 20.19 Å³/atom. Number 3: E_form (uncorrected) -50.0 kcal/mol of atoms, volume 23.82 Å³/atom. Number 4: E_form (uncorrected) -45.5 kcal/mol of atoms, volume 17.41 Å³/atom.